DFT (PBE with a Hubbard U) results for V5O12 after structural relaxation.

a b c (Å): 4.9720 5.3457 7.4708
angles (deg): 96.46 90.07 91.88
With the nearest neighbours (Å) after each atom.
Element x y z (fractional)
V1 0.0000 0.0000 0.0000  3 O 1.74-1.85
V2 0.0140 0.4197 0.2975  2 O 1.68-1.69
V3 0.4774 0.8948 0.7641  3 O 1.67-1.86
V4 0.5314 0.8883 0.2912  1 O 1.69
V5 0.9638 0.4040 0.7600  2 O 1.68-1.72
O1 0.0992 0.3681 0.5478  1 V 1.72
O2 0.1656 0.7053 0.8631  3 V 1.95-2.01
O3 0.1826 0.0197 0.2008  1 V 1.74
O4 0.2954 0.1588 0.8557  1 V 1.77
O5 0.3173 0.5509 0.2514  1 V 1.69
O6 0.3971 0.8780 0.5458  1 V 1.67
O7 0.6773 0.8589 0.0363  1 V 1.78
O8 0.6776 0.5540 0.7349  1 V 1.68
O9 0.6953 0.1689 0.3428  1 V 1.69
O10 0.8098 0.0633 0.7575  2 V 1.86-1.95
O11 0.8233 0.6727 0.3449  1 V 1.68
O12 0.9103 0.3344 0.0469  2 V 1.85-1.94

* space group: P1 (1)
* size of the total moment: 1.00 μB/f.u.
* raw total energy: -0.2737 Ha/atom